The following is a PBE calculation of a relaxed HgP crystal, from Alexandria via LeMat-Bulk.

The energy above the lowest structure with this stoichiometry comes out at 686.6 meV per atom. The calculation puts the energy relative to the elements at 0.716 eV per atom.

The structure belongs to space group R-3m (No. 166, hexagonal axes); the cell edges are 2.8410, 2.8410 and 18.0033 Å and the angles 90.00°, 90.00° and 120.00°. The asymmetric unit holds Hg at (0.0000, 0.0000, 0.0000) and P at (0.0000, 0.0000, 0.5000).